Record 1
DFT (PBE) results for crystalline Sr2TmP2N6 at its relaxed geometry.

Summary:
- Fermi-level density of states (states/eV/cell) = 14.55
- formation energy without anion corrections (eV/atom) = -0.87

The structure in CIF format:
```
data_Sr2TmP2N6
_chemical_formula_sum 'Sr6 Tm3 P6 N18'
_cell_length_a 5.7159
_cell_length_b 5.7159
_cell_length_c 17.9123
_cell_angle_alpha 90.00
_cell_angle_beta 90.00
_cell_angle_gamma 120.00
_space_group_name_H-M_alt 'R -3 m'
_space_group_IT_number 166
_space_group_name_Hall '-R 3 2"'
loop_
_atom_site_label
_atom_site_type_symbol
_atom_site_fract_x
_atom_site_fract_y
_atom_site_fract_z
_atom_site_occupancy
Sr1 Sr 0.0000 0.0000 0.2067 1
Tm1 Tm 0.0000 0.0000 0.0000 1
P1 P 0.0000 0.0000 0.4168 1
N1 N 0.0152 0.5076 0.2482 1
```



Record 2
DFT (PBE) results for crystalline Sr2UP2N6 at its relaxed geometry.

Summary:
- formation energy without anion corrections (eV/atom) = -1.02

The structure in CIF format:
```
data_Sr2UP2N6
_chemical_formula_sum 'Sr6 U3 P6 N18'
_cell_length_a 5.7577
_cell_length_b 5.7577
_cell_length_c 16.7332
_cell_angle_alpha 90.00
_cell_angle_beta 90.00
_cell_angle_gamma 120.00
_space_group_name_H-M_alt 'R -3 m'
_space_group_IT_number 166
_space_group_name_Hall '-R 3 2"'
loop_
_atom_site_label
_atom_site_type_symbol
_atom_site_fract_x
_atom_site_fract_y
_atom_site_fract_z
_atom_site_occupancy
Sr1 Sr 0.0000 0.0000 0.2256 1
U1 U 0.0000 0.0000 0.0000 1
P1 P 0.0000 0.0000 0.4351 1
N1 N 0.0166 0.5083 0.2556 1
```



Record 3
DFT (PBE) results for crystalline SrUPN at its relaxed geometry.

Summary:
- Fermi-level density of states (states/eV/cell) = 17.72
- formation energy without anion corrections (eV/atom) = -1.00

The structure in CIF format:
```
data_SrUPN
_chemical_formula_sum 'Sr3 U3 P3 N3'
_cell_length_a 3.7844
_cell_length_b 3.7844
_cell_length_c 19.7587
_cell_angle_alpha 90.00
_cell_angle_beta 90.00
_cell_angle_gamma 120.00
_space_group_name_H-M_alt 'R 3 m'
_space_group_IT_number 160
_space_group_name_Hall 'R 3 -2"'
loop_
_atom_site_label
_atom_site_type_symbol
_atom_site_fract_x
_atom_site_fract_y
_atom_site_fract_z
_atom_site_occupancy
Sr1 Sr 0.0000 0.0000 0.0000 1
U1 U 0.0000 0.0000 0.5197 1
P1 P 0.0000 0.0000 0.7684 1
N1 N 0.0000 0.0000 0.2343 1
```



Record 4
DFT (PBE) results for crystalline SrU3P4N12 at its relaxed geometry.

Summary:
- Fermi-level density of states (states/eV/cell) = 34.73
- formation energy without anion corrections (eV/atom) = -0.71

The structure in CIF format:
```
data_SrU3P4N12
_chemical_formula_sum 'Sr3 U9 P12 N36'
_cell_length_a 10.8910
_cell_length_b 10.8910
_cell_length_c 8.8055
_cell_angle_alpha 90.00
_cell_angle_beta 90.00
_cell_angle_gamma 120.00
_space_group_name_H-M_alt 'R 3 2'
_space_group_IT_number 155
_space_group_name_Hall 'R 3 2"'
loop_
_atom_site_label
_atom_site_type_symbol
_atom_site_fract_x
_atom_site_fract_y
_atom_site_fract_z
_atom_site_occupancy
Sr1 Sr 0.0000 0.0000 0.0000 1
U1 U 0.0000 0.5475 0.0000 1
P1 P 0.0000 0.0000 0.5000 1
P2 P 0.0000 0.4488 0.5000 1
N1 N 0.0000 0.5957 0.5000 1
N2 N 0.0000 0.8545 0.5000 1
N3 N 0.0261 0.2137 0.1870 1
```



Record 5
DFT (PBE) results for crystalline SrUP2N6 at its relaxed geometry.

Summary:
- formation energy without anion corrections (eV/atom) = -0.75

The structure in CIF format:
```
data_SrUP2N6
_chemical_formula_sum 'Sr4 U4 P8 N24'
_cell_length_a 10.391
_cell_length_b 10.216
_cell_length_c 5.533
_cell_angle_alpha 90.00
_cell_angle_beta 107.54
_cell_angle_gamma 90.00
_space_group_name_H-M_alt 'C 1 2/c 1'
_space_group_IT_number 15
loop_
_space_group_symop_operation_xyz
'x,y,z'
'-x,-y,-z'
'-x,y,-z+1/2'
'x,-y,z+1/2'
'x+1/2,y+1/2,z'
'-x+1/2,-y+1/2,-z'
'-x+1/2,y+1/2,-z+1/2'
'x+1/2,-y+1/2,z+1/2'
loop_
_atom_site_label
_atom_site_type_symbol
_atom_site_fract_x
_atom_site_fract_y
_atom_site_fract_z
_atom_site_occupancy
Sr1 Sr 0.000 0.094 0.250 1
U1 U 0.000 0.298 0.750 1
P1 P 0.214 0.421 0.167 1
N1 N 0.102 0.302 0.117 1
N2 N 0.132 0.126 0.714 1
N3 N 0.172 0.469 0.857 1
```



Record 6
DFT (PBE) results for crystalline SrVP2N6 at its relaxed geometry.

Summary:
- Fermi-level density of states (states/eV/cell) = 13.52
- formation energy without anion corrections (eV/atom) = -0.52

The structure in CIF format:
```
data_SrVP2N6
_chemical_formula_sum 'Sr4 V4 P8 N24'
_cell_length_a 9.605
_cell_length_b 10.851
_cell_length_c 5.392
_cell_angle_alpha 90.00
_cell_angle_beta 109.12
_cell_angle_gamma 90.00
_space_group_name_H-M_alt 'C 1 2/c 1'
_space_group_IT_number 15
loop_
_space_group_symop_operation_xyz
'x,y,z'
'-x,-y,-z'
'-x,y,-z+1/2'
'x,-y,z+1/2'
'x+1/2,y+1/2,z'
'-x+1/2,-y+1/2,-z'
'-x+1/2,y+1/2,-z+1/2'
'x+1/2,-y+1/2,z+1/2'
loop_
_atom_site_label
_atom_site_type_symbol
_atom_site_fract_x
_atom_site_fract_y
_atom_site_fract_z
_atom_site_occupancy
Sr1 Sr 0.000 0.151 0.250 1
V1 V 0.000 0.300 0.750 1
P1 P 0.244 0.076 0.836 1
N1 N 0.086 0.376 0.065 1
N2 N 0.141 0.199 0.730 1
N3 N 0.195 0.016 0.077 1
```